# 1
K2Tb: relaxed, PBE.

Cell lengths 7.404, 7.404, 7.404 Å; angles 60.00, 60.00, 60.00 degrees
Atoms (fractional coordinates):
K1 0.000 0.000 0.000
K2 0.000 0.000 0.500
K3 0.000 0.500 0.000
K4 0.500 0.000 0.000
Tb1 0.375 0.375 0.375
Tb2 0.625 0.625 0.625

Computed properties:
VASP energy (eV per atom): -1.585
Total magnetization (μB/atom): 0.410

=====

# 2
K2Tb: relaxed, PBE.

Cell lengths 12.511, 12.511, 12.511 Å; angles 60.00, 60.00, 60.00 degrees
Atoms (fractional coordinates):
K1 0.000 0.000 0.000
K2 0.000 0.000 0.500
K3 0.000 0.500 0.000
K4 0.500 0.000 0.000
Tb1 0.125 0.125 0.125
Tb2 0.875 0.875 0.875

Computed properties:
VASP energy (eV per atom): -0.799
Total magnetization (μB/atom): 1.001

=====

# 3
K2Tb: relaxed, PBE.

Cell lengths 6.649, 6.649, 6.649 Å; angles 60.00, 60.00, 60.00 degrees
Atoms (fractional coordinates):
K1 0.250 0.250 0.250
K2 0.750 0.750 0.750
Tb1 0.000 0.000 0.000

Computed properties:
VASP energy (eV per atom): -1.246
Total magnetization (μB/atom): 0.666

=====

# 4
KTbTc: relaxed, PBE.

Cell lengths 5.006, 5.006, 5.006 Å; angles 60.00, 60.00, 60.00 degrees
Atoms (fractional coordinates):
K1 0.000 0.000 0.000
Tb1 0.750 0.750 0.750
Tc1 0.250 0.250 0.250

Computed properties:
VASP energy (eV per atom): -3.464
Total magnetization (μB/atom): 0.777

=====

# 5
KTbTlTe3: relaxed, PBE.

Cell lengths 8.435, 8.435, 12.164 Å; angles 90.00, 90.00, 148.32 degrees
Atoms (fractional coordinates):
K1 0.249 0.751 0.750
K2 0.751 0.249 0.250
Tb1 0.500 0.500 0.000
Tb2 0.500 0.500 0.500
Tl1 0.053 0.947 0.250
Tl2 0.947 0.053 0.750
Te1 0.132 0.868 0.025
Te2 0.132 0.868 0.475
Te3 0.431 0.569 0.250
Te4 0.569 0.431 0.750
Te5 0.868 0.132 0.525
Te6 0.868 0.132 0.975

Computed properties:
VASP energy (eV per atom): -3.774
Total magnetization (μB/atom): 0.002

=====

# 6
KTbTl: relaxed, PBE.

Cell lengths 5.486, 5.486, 5.486 Å; angles 60.00, 60.00, 60.00 degrees
Atoms (fractional coordinates):
K1 0.000 0.000 0.000
Tb1 0.500 0.500 0.500
Tl1 0.250 0.250 0.250

Computed properties:
Total magnetization (μB/atom): 0.010
Excess energy over the best structure of this formula in the dataset (eV/f.u.): 0.00

=====

# 7
KTbW: relaxed, PBE.

Cell lengths 5.049, 5.049, 5.049 Å; angles 60.00, 60.00, 60.00 degrees
Atoms (fractional coordinates):
K1 0.000 0.000 0.000
Tb1 0.750 0.750 0.750
W1 0.250 0.250 0.250

Computed properties:
VASP energy (eV per atom): -3.797
Total magnetization (μB/atom): 1.005

=====

# 8
KTbY: relaxed, PBE.

Cell lengths 5.906, 5.906, 5.906 Å; angles 60.00, 60.00, 60.00 degrees
Atoms (fractional coordinates):
K1 0.000 0.000 0.000
Tb1 0.500 0.500 0.500
Y1 0.250 0.250 0.250

Computed properties:
Total magnetization (μB/atom): 0.342
Excess energy over the best structure of this formula in the dataset (eV/f.u.): 0.00